1 | Here is a geometry-optimized Te2PIN structure from Alexandria. Energies are from GGA-PBE.

Geometry as POSCAR:
```
Te2PIN
1.0
5.903 0.000 0.000
0.000 5.903 0.000
0.000 0.000 3.915
Te P I N
2 1 1 1
direct
0.000 0.500 0.000
0.500 0.000 0.000
0.000 0.000 0.500
0.500 0.500 0.000
0.500 0.500 0.500
```

Volume ... 136 Å³/cell
ρ ... 5199 kg/m³
D(E_F) ... 4.74 states/eV/cell



2 | Here is a geometry-optimized Te2PIN structure from Alexandria. Energies are from GGA-PBE.

Geometry as POSCAR:
```
Te2PIN
1.0
4.890 0.000 0.000
0.000 4.890 0.000
0.000 0.000 4.700
Te P I N
2 1 1 1
direct
0.000 0.500 0.000
0.500 0.000 0.000
0.000 0.000 0.500
0.500 0.500 0.500
0.500 0.500 0.000
```

Volume ... 112 Å³/cell
ρ ... 6311 kg/m³
D(E_F) ... 3.02 states/eV/cell



3 | Here is a geometry-optimized Te2PIN structure from Alexandria. Energies are from GGA-PBE.

Geometry as POSCAR:
```
Te2PIN
1.0
6.166 0.000 0.000
0.000 6.166 0.000
0.000 0.000 3.250
Te P I N
2 1 1 1
direct
0.000 0.500 0.000
0.500 0.000 0.000
0.000 0.000 0.000
0.500 0.500 0.500
0.000 0.000 0.500
```

Volume ... 124 Å³/cell
ρ ... 5740 kg/m³
D(E_F) ... 3.90 states/eV/cell



Unit: meV/atom. Relative energies: 1 975; 2 516; 3 0.



1 | Here is a geometry-optimized TiPI2N structure from Alexandria. Energies are from GGA-PBE.

Geometry as POSCAR:
```
TiPI2N
1.0
5.684 0.000 0.000
0.000 5.684 0.000
0.000 0.000 3.405
Ti P I N
1 1 2 1
direct
0.000 0.000 0.000
0.500 0.500 0.500
0.000 0.500 0.500
0.500 0.000 0.500
0.500 0.500 0.000
```

Volume ... 110 Å³/cell
ρ ... 5232 kg/m³
D(E_F) ... 5.83 states/eV/cell



2 | Here is a geometry-optimized TiPI2N structure from Alexandria. Energies are from GGA-PBE.

Geometry as POSCAR:
```
TiPI2N
1.0
5.644 0.000 0.000
0.000 5.644 0.000
0.000 0.000 3.722
Ti P I N
1 1 2 1
direct
0.000 0.000 0.000
0.500 0.500 0.500
0.000 0.500 0.000
0.500 0.000 0.000
0.000 0.000 0.500
```

Volume ... 119 Å³/cell
ρ ... 4855 kg/m³
D(E_F) ... 3.82 states/eV/cell



Unit: meV/atom. Relative energies: 1 308; 2 0.



1 | Here is a geometry-optimized YPIN2 structure from Alexandria. Energies are from GGA-PBE.

Geometry as POSCAR:
```
YPIN2
1.0
4.412 0.000 0.000
0.000 4.412 0.000
0.000 0.000 6.570
Y P I N
1 1 1 2
direct
0.000 0.000 0.000
0.500 0.500 0.500
0.000 0.000 0.500
0.000 0.500 0.000
0.500 0.000 0.000
```

Volume ... 128 Å³/cell
ρ ... 3568 kg/m³
D(E_F) ... 3.29 states/eV/cell



2 | Here is a geometry-optimized YPIN2 structure from Alexandria. Energies are from GGA-PBE.

Geometry as POSCAR:
```
YPIN2
1.0
4.063 0.000 0.000
0.000 4.063 0.000
0.000 0.000 5.033
Y P I N
1 1 1 2
direct
0.000 0.000 0.000
0.500 0.500 0.500
0.500 0.500 0.000
0.000 0.500 0.500
0.500 0.000 0.500
```

Volume ... 83 Å³/cell
ρ ... 5493 kg/m³
D(E_F) ... 3.17 states/eV/cell



Unit: meV/atom. Relative energies: 1 274; 2 0.